Entry 1:
# CsRuIN2

Crystalline CsRuIN2 at its relaxed geometry (GGA-PBE, the Alexandria database).

```
5
Lattice="4.442 0.000 0.000 0.000 4.442 0.000 0.000 0.000 7.402" Properties=species:S:1:pos:R:3 pbc="T T T"
Cs 0.000 0.000 0.000
Ru 2.221 2.221 3.701
I 0.000 0.000 3.701
N 0.000 2.221 0.000
N 2.221 0.000 0.000
```

Summary:
* E_form (uncorrected): 2.71 eV/atom
* theoretical density: 4.421 Mg/m³
* total magnetization: 4.991 μB/f.u.
* raw total energy: -0.2171 Ry per atom
* crystal system: tetragonal
* DOS at the Fermi energy: 8.88 states/eV per cell
* space-group type: No. 123
* relative energy among the computed polymorphs: 1.611 eV/atom


Entry 2:
# SmEr5TmSc2

Crystalline SmEr5TmSc2 at its relaxed geometry (GGA-PBE, the Alexandria database).

```
18
Lattice="2.775 -10.645 0.000 2.775 10.645 0.000 0.000 0.000 9.254" Properties=species:S:1:pos:R:3 pbc="T T T"
Sm 2.775 6.712 4.627
Sm 2.775 -6.712 0.000
Er 2.775 10.427 4.605
Er 2.775 4.999 7.561
Er 2.775 4.099 1.868
Er 2.775 2.288 4.908
Er 2.775 0.669 2.141
Er 2.775 -0.669 6.768
Er 2.775 -2.288 0.281
Er 2.775 -4.099 6.495
Er 2.775 -4.999 2.935
Er 2.775 -10.427 9.231
Tm 2.775 2.067 8.362
Tm 2.775 -2.067 3.735
Sc 2.775 8.235 7.469
Sc 2.775 7.738 1.682
Sc 2.775 -7.738 6.309
Sc 2.775 -8.235 2.842
```

Summary:
* DFT formation energy: 0.170 eV/atom
* theoretical density: 7.567 Mg/m³
* total magnetization: 0.001 μB/f.u.
* raw total energy: -0.3523 Ry per atom
* crystal system: orthorhombic
* DOS at the Fermi energy: 27.19 states/eV per cell
* space-group type: No. 36


Entry 3:
# Ac8Ir3PtBr4

Crystalline Ac8Ir3PtBr4 at its relaxed geometry (GGA-PBE, the Alexandria database).

```
16
Lattice="7.600 -4.388 0.000 7.600 4.388 0.000 -5.073 0.000 8.243" Properties=species:S:1:pos:R:3 pbc="T T T"
Ac 3.776 2.232 5.720
Ac -0.002 0.000 5.719
Ac 2.487 0.000 2.523
Ac 6.351 2.232 2.523
Ac 3.776 -2.232 5.720
Ac 7.640 0.000 5.720
Ac 10.129 0.000 2.524
Ac 6.351 -2.232 2.523
Ir -2.537 0.000 4.121
Ir 1.263 2.194 4.121
Ir 1.263 -2.194 4.121
Pt 5.063 0.000 4.121
Br 0.000 0.000 0.000
Br 3.800 2.194 0.000
Br 3.800 -2.194 0.000
Br 7.600 0.000 0.000
```

Summary:
* E_form (uncorrected): -1.24 eV/atom
* theoretical density: 8.781 Mg/m³
* total magnetization: 0.000 μB/f.u.
* raw total energy: -0.4227 Ry per atom
* crystal system: monoclinic
* DOS at the Fermi energy: 6.33 states/eV per cell
* space-group type: No. 12


Entry 4:
# InGaO3

Crystalline InGaO3 at its relaxed geometry (GGA-PBE, the Alexandria database).

```
5
Lattice="4.093 0.000 0.000 0.000 4.093 0.000 0.000 0.000 4.093" Properties=species:S:1:pos:R:3 pbc="T T T"
In 0.000 0.000 0.000
Ga 2.046 2.046 2.046
O 0.000 0.000 2.046
O 0.000 2.046 0.000
O 2.046 0.000 0.000
```

Summary:
* E_form (uncorrected): -0.39 eV/atom
* theoretical density: 5.632 Mg/m³
* total magnetization: 0.247 μB/f.u.
* raw total energy: -0.3323 Ry per atom
* crystal system: cubic
* DOS at the Fermi energy: 4.29 states/eV per cell
* space-group type: No. 221